Compound: SrLiTlCd
Source: OQMD via LeMat-Bulk
Functional: GGA-PBE
Structure: optimized geometry

Calculated values
- crystal system = monoclinic
- density (g/cm³) = 6.11
- DFT total energy (eV/atom) = -1.90

a = 5.327 Å, b = 3.923 Å, c = 5.347 Å
α = 90.00°, β = 90.43°, γ = 90.00°
Space group P2/m (No. 10)
Symmetry-distinct sites (fractional):
Sr1 0.000 0.000 0.000
Li1 0.500 0.000 0.500
Tl1 0.000 0.500 0.500
Cd1 0.500 0.500 0.000

***

Compound: YHoCu2Pb
Source: OQMD via LeMat-Bulk
Functional: GGA-PBE
Structure: optimized geometry

Calculated values
- crystal system = orthorhombic
- density (g/cm³) = 8.97
- DFT total energy (eV/atom) = -4.82

a = 3.677 Å, b = 4.234 Å, c = 13.993 Å
α = 90.00°, β = 90.00°, γ = 90.00°
Space group Amm2 (No. 38)
Symmetry-distinct sites (fractional):
Y1 0.000 0.000 0.000
Ho1 0.000 0.000 0.730
Cu1 0.500 0.000 0.163
Cu2 0.500 0.000 0.570
Pb1 0.500 0.000 0.366

***

Compound: SmHoAg2Pb2
Source: OQMD via LeMat-Bulk
Functional: GGA-PBE
Structure: optimized geometry

Calculated values
- crystal system = trigonal
- density (g/cm³) = 10.38
- DFT total energy (eV/atom) = -4.15

a = 4.8284 Å, b = 4.8284 Å, c = 7.4909 Å
α = 90.00°, β = 90.00°, γ = 120.00°
Space group P3m1 (No. 156)
Symmetry-distinct sites (fractional):
Sm1 0.0000 0.0000 0.0000
Ho1 0.0000 0.0000 0.5013
Ag1 0.3333 0.6667 0.1933
Ag2 0.6667 0.3333 0.6837
Pb1 0.3333 0.6667 0.7770
Pb2 0.6667 0.3333 0.2834